[1]
11
Lattice="-2.804 3.523 -2.914 3.455 -1.296 -3.967 -4.347 -5.576 -0.703" Properties=species:S:1:pos:R:3 comment="NpPd8Pb2 PBE-GGA relaxed" e_form_mev_per_atom=-263 volume_a3_per_fu=201.35 pbc="T T T"
Pd -0.864 0.523 -4.007
Pd 0.582 -0.321 -1.204
Pd -3.605 1.156 -2.839
Pd -2.097 -1.149 -2.102
Pd -4.277 -3.027 -6.380
Pd -2.832 -3.871 -3.577
Pb -3.965 -1.278 -4.217
Pd -1.598 -2.199 -5.482
Np -1.402 1.761 -1.457
Pd -0.090 -4.505 -4.745
Pb 0.269 -2.071 -3.368

[2]
12
Lattice="-1.179 -1.400 -3.711 -3.663 -1.100 1.578 -4.548 11.172 -2.772" Properties=species:S:1:pos:R:3 comment="Np2Pd9Pb PBE-GGA relaxed" e_form_mev_per_atom=-387 volume_a3_per_fu=211.91 pbc="T T T"
Pb 0.000 0.000 0.000
Pd -2.599 1.334 0.322
Np -1.511 3.713 -0.921
Pd -2.863 4.886 -3.241
Pd -4.106 5.036 -0.597
Pd -3.931 2.460 -1.987
Pd -5.613 8.739 -1.515
Pd -1.356 1.184 -2.323
Pd -2.421 -1.250 -1.066
Pd -4.370 8.588 -4.160
Pd -5.459 6.213 -2.918
Np -3.036 7.459 -1.850

[3]
6
Lattice="5.438 0.000 0.000 2.719 4.710 0.000 2.719 1.570 4.440" Properties=species:S:1:pos:R:3 comment="NpPd4Pb PBE-GGA relaxed" e_form_mev_per_atom=-275 volume_a3_per_fu=113.72 pbc="T T T"
Pd 5.438 3.140 0.553
Np 0.000 0.000 0.000
Pd 6.800 3.926 2.776
Pb 2.719 1.570 1.110
Pd 4.077 3.926 2.776
Pd 5.438 1.568 2.776

[4]
4
Lattice="3.619 0.000 0.000 0.000 4.855 0.000 0.000 0.000 4.855" Properties=species:S:1:pos:R:3 comment="NpPd2Pb PBE-GGA relaxed" e_form_mev_per_atom=-99 volume_a3_per_fu=85.28 pbc="T T T"
Pd 0.000 0.000 2.427
Pb 1.809 0.000 0.000
Pd 0.000 2.427 0.000
Np 1.809 2.427 2.427

[5]
8
Lattice="-1.861 -3.477 -1.220 3.301 -0.966 -2.284 3.273 -4.006 6.425" Properties=species:S:1:pos:R:3 comment="NpPd6Pb PBE-GGA relaxed" e_form_mev_per_atom=-360 volume_a3_per_fu=140.60 pbc="T T T"
Pd 2.484 -1.503 0.494
Pb 0.000 0.000 0.000
Pd 0.720 -2.222 -1.752
Np 1.636 -2.003 3.213
Pd 4.090 -3.469 3.648
Pd -0.098 -2.758 1.026
Pd 2.356 -4.225 1.461
Pd 1.509 -4.725 4.179

[6]
4
Lattice="-2.643 2.005 3.617 -1.932 -2.850 3.497 1.802 0.151 4.562" Properties=species:S:1:pos:R:3 comment="NpPdPtPb PBE-GGA relaxed" e_form_mev_per_atom=-261 volume_a3_per_fu=83.57 pbc="T T T"
Pt -1.387 -0.347 5.838
Np -2.080 -0.520 8.757
Pb -0.693 -0.173 2.919
Pd 0.000 0.000 0.000